## a
# Sr3UO6 | the Alexandria database | PBE-GGA | optimized geometry
data_Sr3UO6
_chemical_formula_sum 'Sr6 U2 O12'
_symmetry_space_group_name_H-M 'P 1'
_symmetry_Int_Tables_number 1
_symmetry_space_group_name_Hall 'P 1'
_cell_length_a 6.280
_cell_length_b 6.050
_cell_length_c 10.574
_cell_angle_alpha 55.48
_cell_angle_beta 90.00
_cell_angle_gamma 90.00
loop_
_atom_site_label
_atom_site_fract_x
_atom_site_fract_y
_atom_site_fract_z
Sr1 0.500 0.500 0.000
Sr2 0.000 0.500 0.500
Sr3 0.049 0.272 0.243
Sr4 0.549 0.728 0.257
Sr5 0.451 0.272 0.743
Sr6 0.951 0.728 0.757
U1 0.500 0.000 0.500
U2 0.000 0.000 0.000
O1 0.227 0.750 0.577
O2 0.727 0.250 0.923
O3 0.324 0.332 0.450
O4 0.824 0.668 0.050
O5 0.062 0.106 0.776
O6 0.562 0.894 0.724
O7 0.273 0.750 0.077
O8 0.773 0.250 0.423
O9 0.938 0.894 0.224
O10 0.438 0.106 0.276
O11 0.676 0.668 0.550
O12 0.176 0.332 0.950
# Volume = 166 Å³/f.u.
# Total magnetic moment = 0.00 Bohr magnetons per cell
# Fermi-level density of states = 0.00 states/eV/f.u.



## b
# Sr3UO6 | the Alexandria database | PBE-GGA | optimized geometry
data_Sr3UO6
_chemical_formula_sum 'Sr6 U2 O12'
_symmetry_space_group_name_H-M 'P 1'
_symmetry_Int_Tables_number 1
_symmetry_space_group_name_Hall 'P 1'
_cell_length_a 7.091
_cell_length_b 7.091
_cell_length_c 7.091
_cell_angle_alpha 91.62
_cell_angle_beta 91.62
_cell_angle_gamma 91.62
loop_
_atom_site_label
_atom_site_fract_x
_atom_site_fract_y
_atom_site_fract_z
Sr1 0.427 0.073 0.750
Sr2 0.073 0.750 0.427
Sr3 0.750 0.427 0.073
Sr4 0.927 0.250 0.573
Sr5 0.250 0.573 0.927
Sr6 0.573 0.927 0.250
U1 0.500 0.500 0.500
U2 0.000 0.000 0.000
O1 0.952 0.714 0.061
O2 0.714 0.061 0.952
O3 0.061 0.952 0.714
O4 0.452 0.561 0.214
O5 0.561 0.214 0.452
O6 0.214 0.452 0.561
O7 0.048 0.286 0.939
O8 0.286 0.939 0.048
O9 0.939 0.048 0.286
O10 0.548 0.439 0.786
O11 0.439 0.786 0.548
O12 0.786 0.548 0.439
# Volume = 178 Å³/f.u.
# Total magnetic moment = 0.00 Bohr magnetons per cell
# Fermi-level density of states = 0.00 states/eV/f.u.



## c
# Sr3UO6 | the Alexandria database | PBE-GGA | optimized geometry
data_Sr3UO6
_chemical_formula_sum 'Sr6 U2 O12'
_symmetry_space_group_name_H-M 'P 1'
_symmetry_Int_Tables_number 1
_symmetry_space_group_name_Hall 'P 1'
_cell_length_a 7.105
_cell_length_b 7.105
_cell_length_c 7.105
_cell_angle_alpha 91.40
_cell_angle_beta 91.40
_cell_angle_gamma 91.40
loop_
_atom_site_label
_atom_site_fract_x
_atom_site_fract_y
_atom_site_fract_z
Sr1 0.444 0.941 0.749
Sr2 0.941 0.749 0.444
Sr3 0.251 0.556 0.059
Sr4 0.749 0.444 0.941
Sr5 0.059 0.251 0.556
Sr6 0.556 0.059 0.251
U1 0.000 0.000 0.000
U2 0.500 0.500 0.500
O1 0.282 0.932 0.061
O2 0.068 0.939 0.718
O3 0.582 0.782 0.458
O4 0.939 0.718 0.068
O5 0.458 0.582 0.782
O6 0.218 0.542 0.418
O7 0.782 0.458 0.582
O8 0.542 0.418 0.218
O9 0.061 0.282 0.932
O10 0.418 0.218 0.542
O11 0.932 0.061 0.282
O12 0.718 0.068 0.939
# Volume = 179 Å³/f.u.
# Total magnetic moment = 0.00 Bohr magnetons per cell
# Fermi-level density of states = 0.00 states/eV/f.u.



Stability, highest: c